## w
Below is an optimized crystal structure of BaPtBr4, with properties calculated at the PBE level.

a b c (Å): 8.965 8.965 8.965
angles (deg): 90.00 90.00 90.00
Space group F-43m (No. 216)
Unique sites:
Ba 0.000 0.000 0.000 (multiplicity 4)
Pt 0.250 0.250 0.250 (multiplicity 4)
Br 0.124 0.124 0.624 (multiplicity 16)


## x
Below is an optimized crystal structure of BaPtBr4, with properties calculated at the PBE level.

a b c (Å): 7.489 7.489 8.279
angles (deg): 90.00 90.00 90.00
Space group I-4 (No. 82)
Unique sites:
Ba 0.000 0.000 0.000 (multiplicity 2)
Pt 0.000 0.500 0.750 (multiplicity 2)
Br 0.232 0.266 0.749 (multiplicity 8)


What should be chosen as the most stable of them? Choose x.


## w
Below is an optimized crystal structure of BaPtSe2Br, with properties calculated at the PBE level.

a b c (Å): 5.106 5.106 5.253
angles (deg): 90.00 90.00 90.00
Space group P4/mmm (No. 123)
Unique sites:
Ba 0.000 0.000 0.000 (multiplicity 1)
Pt 0.500 0.500 0.500 (multiplicity 1)
Se 0.000 0.500 0.500 (multiplicity 2)
Br 0.500 0.500 0.000 (multiplicity 1)


## x
Below is an optimized crystal structure of BaPtSe2Br, with properties calculated at the PBE level.

a b c (Å): 6.318 6.318 6.065
angles (deg): 90.00 90.00 90.00
Space group P4/mmm (No. 123)
Unique sites:
Ba 0.000 0.000 0.000 (multiplicity 1)
Pt 0.500 0.500 0.500 (multiplicity 1)
Se 0.000 0.500 0.000 (multiplicity 2)
Br 0.000 0.000 0.500 (multiplicity 1)


What should be chosen as the most stable of them? Choose w.